1.
The following is a PBE calculation of a relaxed ScFeN2 crystal, from the Alexandria database.

Results
The value obtained for the calculated density is 4.57 Mg/m³. Its uncorrected energy is -8.57 eV/atom. The value obtained for the formation energy (no corrections) is -707.8 meV/atom. Its density of states at the Fermi level is 2.47 states/eV/cell.

Structure (POSCAR):
```
ScFeN2
1.0
4.456 0.000 0.000
0.000 4.456 0.000
2.228 2.228 4.719
N Sc Fe
4 2 2
Cartesian
3.586 1.114 1.180
5.569 5.814 3.539
3.342 3.097 3.539
0.869 3.342 1.180
2.228 2.228 0.000
2.228 4.456 2.359
4.456 2.228 2.359
0.000 0.000 0.000
```

2.
The following is a PBE calculation of a relaxed ScFeN2 crystal, from the Alexandria database.

Results
The value obtained for the calculated density is 5.81 Mg/m³. Its uncorrected energy is -8.02 eV/atom. The value obtained for the formation energy (no corrections) is -157.2 meV/atom. Its density of states at the Fermi level is 1.80 states/eV/cell.

Structure (POSCAR):
```
ScFeN2
1.0
-0.950 -0.147 3.608
-1.139 3.091 1.758
-3.577 0.366 1.005
Fe Sc N
1 1 2
Cartesian
-2.833 1.655 3.185
0.000 0.000 0.000
-1.417 0.827 1.593
-4.250 2.482 4.778
```

3.
The following is a PBE calculation of a relaxed Sc2FeN crystal, from the Alexandria database.

Results
The value obtained for the calculated density is 3.26 Mg/m³. Its uncorrected energy is -7.03 eV/atom. The value obtained for the formation energy (no corrections) is 330.0 meV/atom. Its density of states at the Fermi level is 6.14 states/eV/cell.

Structure (POSCAR):
```
Sc2FeN
1.0
-3.299 2.321 6.698
0.082 1.872 7.591
-0.950 4.868 6.044
Fe Sc N
1 2 1
Cartesian
-2.084 4.531 10.167
-0.345 0.750 1.683
-3.823 8.311 18.650
0.000 0.000 0.000
```

4.
The following is a PBE calculation of a relaxed ScFeSe2N crystal, from the Alexandria database.

Results
The value obtained for the calculated density is 5.48 Mg/m³. Its uncorrected energy is -6.38 eV/atom. The value obtained for the formation energy (no corrections) is -361.3 meV/atom. Its density of states at the Fermi level is 3.35 states/eV/cell.

Structure (POSCAR):
```
ScFeSe2N
1.0
4.889 0.000 0.000
0.000 4.889 0.000
0.000 0.000 3.454
Se N Fe Sc
2 1 1 1
Cartesian
0.000 2.445 0.000
2.445 0.000 0.000
0.000 0.000 1.727
0.000 0.000 0.000
2.445 2.445 1.727
```

5.
The following is a PBE calculation of a relaxed ScFeSe2N crystal, from the Alexandria database.

Results
The value obtained for the calculated density is 4.22 Mg/m³. Its uncorrected energy is -5.57 eV/atom. The value obtained for the formation energy (no corrections) is 447.1 meV/atom. Its density of states at the Fermi level is 7.99 states/eV/cell.

Structure (POSCAR):
```
ScFeSe2N
1.0
5.201 0.000 0.000
0.000 5.201 0.000
0.000 0.000 3.966
Fe Se N Sc
1 2 1 1
Cartesian
2.600 2.600 1.983
2.600 0.000 0.000
0.000 2.600 0.000
0.000 0.000 1.983
0.000 0.000 0.000
```

6.
The following is a PBE calculation of a relaxed ScFeTc2N crystal, from the Alexandria database.

Results
The value obtained for the calculated density is 7.88 Mg/m³. Its uncorrected energy is -9.00 eV/atom. The value obtained for the formation energy (no corrections) is -231.4 meV/atom. Its density of states at the Fermi level is 3.57 states/eV/cell.

Structure (POSCAR):
```
ScFeTc2N
1.0
-2.629 -0.716 -3.133
-2.503 -1.483 2.439
-1.684 3.755 0.555
Tc Sc N Fe
2 1 1 1
Cartesian
-1.315 -0.358 -1.567
-0.842 1.878 0.277
-3.408 0.778 -0.070
0.000 0.000 0.000
-1.251 -0.741 1.219
```

7.
The following is a PBE calculation of a relaxed Sc2VFeN crystal, from the Alexandria database.

Results
The value obtained for the calculated density is 3.78 Mg/m³. Its uncorrected energy is -7.11 eV/atom. The value obtained for the formation energy (no corrections) is 607.2 meV/atom. Its density of states at the Fermi level is 5.73 states/eV/cell.

Structure (POSCAR):
```
Sc2VFeN
1.0
5.027 0.000 0.000
0.000 3.660 0.000
0.000 0.000 5.027
Sc V N Fe
2 1 1 1
Cartesian
0.000 0.000 2.513
2.513 0.000 0.000
0.000 0.000 0.000
0.000 1.830 0.000
2.513 1.830 2.513
```

8.
The following is a PBE calculation of a relaxed YScFe2N crystal, from the Alexandria database.

Results
The value obtained for the calculated density is 4.06 Mg/m³. Its uncorrected energy is -5.91 eV/atom. The value obtained for the formation energy (no corrections) is 1704.2 meV/atom. Its density of states at the Fermi level is 2.93 states/eV/cell.

Structure (POSCAR):
```
YScFe2N
1.0
4.120 0.000 0.000
0.000 6.257 0.000
0.000 0.000 4.120
Fe N Sc Y
2 1 1 1
Cartesian
0.000 0.000 2.060
2.060 0.000 0.000
2.060 3.128 2.060
0.000 0.000 0.000
0.000 3.128 0.000
```